a) HfPaTc after structural relaxation, computed with PBE.

Cell: 4.5671 4.5671 4.5671 Å, 60.00 60.00 60.00°
Last column: nearest neighbours and their distance in Å.
Sites, in units of the cell vectors:
Hf 0.2500 0.2500 0.2500  4 Pa 2.80
Pa 0.0000 0.0000 0.0000  4 Tc 2.80, 4 Hf 2.80
Tc 0.7500 0.7500 0.7500  4 Pa 2.80

Values from the calculation:
Total magnetization: 0.047 Bohr magnetons per cell
Space-group type: F-43m

b) HfPaTc after structural relaxation, computed with PBE.

Cell: 4.5610 4.5610 4.5610 Å, 60.00 60.00 60.00°
Last column: nearest neighbours and their distance in Å.
Sites, in units of the cell vectors:
Pa 0.2500 0.2500 0.2500  4 Hf 2.79
Hf 0.0000 0.0000 0.0000  4 Pa 2.79, 4 Tc 2.79
Tc 0.7500 0.7500 0.7500  4 Hf 2.79

Values from the calculation:
Total magnetization: 0.012 Bohr magnetons per cell
Space-group type: F-43m

Result of the stability comparison: a) is the least stable of them.

a) HfPaW after structural relaxation, computed with PBE.

Cell: 4.6410 4.6410 4.6410 Å, 60.00 60.00 60.00°
Last column: nearest neighbours and their distance in Å.
Sites, in units of the cell vectors:
W 0.0000 0.0000 0.0000  4 Pa 2.84
Pa 0.2500 0.2500 0.2500  4 Hf 2.84, 4 W 2.84
Hf 0.5000 0.5000 0.5000  4 Pa 2.84

Values from the calculation:
Total magnetization: 0.016 Bohr magnetons per cell
Space-group type: F-43m

b) HfPaW after structural relaxation, computed with PBE.

Cell: 4.6371 4.6371 4.6371 Å, 60.00 60.00 60.00°
Last column: nearest neighbours and their distance in Å.
Sites, in units of the cell vectors:
W 0.7500 0.7500 0.7500  4 Hf 2.84
Hf 0.0000 0.0000 0.0000  4 W 2.84, 4 Pa 2.84
Pa 0.2500 0.2500 0.2500  4 Hf 2.84

Values from the calculation:
Total magnetization: 0.000 Bohr magnetons per cell
Space-group type: F-43m

Result of the stability comparison: a) is the least stable of them.

a) RbHfPb after structural relaxation, computed with PBE.

Cell: 5.3619 5.3619 5.3619 Å, 60.00 60.00 60.00°
Last column: nearest neighbours and their distance in Å.
Sites, in units of the cell vectors:
Hf 0.2500 0.2500 0.2500  4 Rb 3.28
Rb 0.0000 0.0000 0.0000  4 Pb 3.28, 4 Hf 3.28
Pb 0.7500 0.7500 0.7500  4 Rb 3.28

Values from the calculation:
Total magnetization: 0.362 Bohr magnetons per cell
Space-group type: F-43m

b) RbHfPb after structural relaxation, computed with PBE.

Cell: 5.3652 5.3652 5.3652 Å, 60.00 60.00 60.00°
Last column: nearest neighbours and their distance in Å.
Sites, in units of the cell vectors:
Hf 0.2500 0.2500 0.2500  4 Pb 3.29
Rb 0.7500 0.7500 0.7500  4 Pb 3.29
Pb 0.0000 0.0000 0.0000  4 Hf 3.29, 4 Rb 3.29

Values from the calculation:
Total magnetization: 1.000 Bohr magnetons per cell
Space-group type: F-43m

Result of the stability comparison: a) is the least stable of them.

a) SrHfPb after structural relaxation, computed with PBE.

Cell: 5.3187 5.3187 5.3187 Å, 60.00 60.00 60.00°
Last column: nearest neighbours and their distance in Å.
Sites, in units of the cell vectors:
Pb 0.7500 0.7500 0.7500  4 Sr 3.26
Hf 0.2500 0.2500 0.2500  4 Sr 3.26
Sr 0.0000 0.0000 0.0000  4 Pb 3.26, 4 Hf 3.26

Values from the calculation:
Total magnetization: 0.033 Bohr magnetons per cell
Space-group type: F-43m

b) SrHfPb after structural relaxation, computed with PBE.

Cell: 5.6619 5.6619 3.2224 Å, 90.00 90.00 120.00°
Last column: nearest neighbours and their distance in Å.
Sites, in units of the cell vectors:
Pb 0.3333 0.6667 0.0000  2 Pb 3.22, 3 Hf 3.27, 3 Sr 3.27
Hf 0.0000 0.0000 0.0000  2 Hf 3.22, 3 Pb 3.27, 3 Sr 3.27
Sr 0.6667 0.3333 0.0000  2 Sr 3.22, 3 Pb 3.27, 3 Hf 3.27

Values from the calculation:
Total magnetization: 0.928 Bohr magnetons per cell
Space-group type: P-6m2

Result of the stability comparison: a) is the least stable of them.

a) HfUPb after structural relaxation, computed with PBE.

Cell: 5.0894 5.0894 5.0894 Å, 60.00 60.00 60.00°
Last column: nearest neighbours and their distance in Å.
Sites, in units of the cell vectors:
Pb 0.7500 0.7500 0.7500  4 U 3.12
Hf 0.2500 0.2500 0.2500  4 U 3.12
U 0.0000 0.0000 0.0000  4 Pb 3.12, 4 Hf 3.12

Values from the calculation:
Total magnetization: 4.535 Bohr magnetons per cell
Space-group type: F-43m

b) HfUPb after structural relaxation, computed with PBE.

Cell: 5.0169 5.0169 5.0169 Å, 60.00 60.00 60.00°
Last column: nearest neighbours and their distance in Å.
Sites, in units of the cell vectors:
U 0.0000 0.0000 0.0000  4 Pb 3.07
Hf 0.5000 0.5000 0.5000  4 Pb 3.07
Pb 0.2500 0.2500 0.2500  4 Hf 3.07, 4 U 3.07

Values from the calculation:
Total magnetization: 4.269 Bohr magnetons per cell
Space-group type: F-43m

Result of the stability comparison: a) is the least stable of them.

a) HfZnPb after structural relaxation, computed with PBE.

Cell: 4.7347 4.7347 4.7347 Å, 60.00 60.00 60.00°
Last column: nearest neighbours and their distance in Å.
Sites, in units of the cell vectors:
Hf 0.2500 0.2500 0.2500  4 Pb 2.90
Zn 0.7500 0.7500 0.7500  4 Pb 2.90
Pb 0.0000 0.0000 0.0000  4 Zn 2.90, 4 Hf 2.90

Values from the calculation:
Total magnetization: 0.002 Bohr magnetons per cell
Space-group type: F-43m

b) HfZnPb after structural relaxation, computed with PBE.

Cell: 6.0658 6.0658 6.0658 Å, 147.49 147.49 46.64°
Last column: nearest neighbours and their distance in Å.
Sites, in units of the cell vectors:
Zn 0.3455 0.3455 0.0000  4 Hf 2.82, 4 Pb 3.06
Pb 0.6758 0.6758 0.0000  4 Zn 3.06, 5 Hf 3.25-3.37, 4 Pb 3.40
Hf 0.9787 0.9787 0.0000  4 Zn 2.82

Values from the calculation:
Total magnetization: 0.004 Bohr magnetons per cell
Space-group type: I4mm

Result of the stability comparison: a) is the least stable of them.